PmAgAu2: relaxed, GGA-PBE.

Structure (POSCAR):
```
PmAgAu2
1.0
3.626 0.000 0.000
0.000 3.626 0.000
0.000 0.000 6.559
Pm Ag Au
1 1 2
Direct
0.000 0.000 0.000 Pm
0.000 0.000 0.500 Ag
0.500 0.500 0.274 Au
0.500 0.500 0.726 Au
```

Properties
Its density is 12.5 g/cm³. Its calculated volume is 21.56 A^3/atom. For the density of states at the Fermi level, the calculation gives 1.70 states/eV per cell. The total energy is -4.05 eV per atom.